(1)
A geometry-optimized Ac3Zn2GePd9 structure. Source: Alexandria via LeMat-Bulk, functional GGA-PBE.

Calculated formation energy   -0.607 eV/atom
E_tot   -5.022 eV/atom
Space-group type   No. 164
Total moment   0.0 μB per formula unit

a = 5.950 Å, b = 5.950 Å, c = 10.853 Å
α = 90.00°, β = 90.00°, γ = 120.00°
Atoms (fractional coordinates):
1 Ac 0.333 0.667 0.713
2 Ac 0.000 0.000 0.000
3 Ac 0.667 0.333 0.287
4 Zn 0.333 0.667 0.171
5 Zn 0.667 0.333 0.829
6 Ge 0.000 0.000 0.500
7 Pd 0.825 0.175 0.648
8 Pd 0.825 0.650 0.648
9 Pd 0.350 0.175 0.648
10 Pd 0.650 0.825 0.352
11 Pd 0.175 0.350 0.352
12 Pd 0.175 0.825 0.352
13 Pd 0.500 0.000 0.000
14 Pd 0.000 0.500 0.000
15 Pd 0.500 0.500 0.000

(2)
A geometry-optimized AcZn2GePd2 structure. Source: Alexandria via LeMat-Bulk, functional GGA-PBE.

Calculated formation energy   -0.199 eV/atom
E_tot   -3.809 eV/atom
Space-group type   No. 123
Total moment   0.0 μB per formula unit

a = 4.640 Å, b = 4.640 Å, c = 6.050 Å
α = 90.00°, β = 90.00°, γ = 90.00°
Atoms (fractional coordinates):
1 Ac 0.000 0.000 0.500
2 Zn 0.500 0.000 0.000
3 Zn 0.000 0.500 0.000
4 Ge 0.000 0.000 0.000
5 Pd 0.500 0.500 0.743
6 Pd 0.500 0.500 0.257